Computed, not measured: a relaxed CrCoNF2 crystal at the PBE with a Hubbard U level of DFT.

Computed properties:
E_tot	-0.205	Ha/atom
volume	12.04	A^3/atom
Fermi-level density of states	0.4094	states/eV/atom
space-group type	P4/mmm (123)

abc: 3.8101 3.8101 4.1453
angles: 90.00 90.00 90.00
Last column: nearest neighbours and their distance in Å.
Positions (direct):
Cr (0.0000, 0.0000, 0.0000)  4 F 1.91, 2 N 2.07
N (0.0000, 0.0000, 0.5000)  2 Cr 2.07
Co (0.5000, 0.5000, 0.5000)  4 N 2.69, 8 F 2.82
F (0.0000, 0.5000, 0.0000)  2 Cr 1.91
F (0.5000, 0.0000, 0.0000)  2 Cr 1.91